Record 1
DFT (PBE) results for an optimized crystal structure of LiCd2Hg3.

**Fermi-level density of states**: 6.5 states/eV/cell
**Crystal system**: monoclinic
**Raw total energy**: -21.493 eV for the cell shown
**Theoretical density**: 10.407 g/cm3
**Energy of formation**: -0.1206 eV/atom

a b c (Å): 5.2395 15.0951 6.7266
angles (deg): 90.00 90.07 90.00
Closest atoms and distances in Å follow each position.
Space group C2/m (No. 12)
Unique sites:
Li 0.0000 0.1627 0.0000 [4 per cell]  8 Hg 2.90-3.06
Cd 0.0000 0.1617 0.5000 [4 per cell]  8 Hg 3.01-3.18, 2 Li 3.36
Cd 0.0000 0.5000 0.0000 [2 per cell]  8 Hg 3.07-3.08, 2 Cd 3.36
Cd 0.0000 0.5000 0.5000 [2 per cell]  8 Hg 3.16-3.20, 2 Cd 3.36
Hg 0.9998 0.0000 0.2374 [4 per cell]  2 Li 2.93, 6 Cd 3.01-3.16, 1 Hg 3.19
Hg 0.9995 0.3246 0.2332 [8 per cell]  3 Li 2.90-3.06, 5 Cd 3.04-3.20, 1 Hg 3.14

Record 2
DFT (PBE) results for an optimized crystal structure of Sm3Al2Zn.

**Fermi-level density of states**: 4.4 states/eV/cell
**Crystal system**: tetragonal
**Raw total energy**: -25.053 eV for the cell shown
**Theoretical density**: 6.380 g/cm3
**Energy of formation**: -0.3560 eV/atom

a b c (Å): 3.6433 3.6433 11.1858
angles (deg): 90.00 90.00 90.00
Closest atoms and distances in Å follow each position.
Space group P4/mmm (No. 123)
Unique sites:
Sm 0.0000 0.0000 0.0000 [1 per cell]  8 Al 3.21
Sm 0.0000 0.0000 0.3382 [2 per cell]  4 Zn 3.15, 4 Al 3.18
Al 0.5000 0.5000 0.1709 [2 per cell]  8 Sm 3.18-3.21
Zn 0.5000 0.5000 0.5000 [1 per cell]  8 Sm 3.15

Record 3
DFT (PBE) results for an optimized crystal structure of TlPdO2F.

**Fermi-level density of states**: 4.8 states/eV/cell
**Crystal system**: tetragonal
**Raw total energy**: -22.197 eV for the cell shown
**Raw formation energy**: -0.570 eV per atom
**Theoretical density**: 8.477 g/cm3

a b c (Å): 4.0460 4.0460 4.3292
angles (deg): 90.00 90.00 90.00
Closest atoms and distances in Å follow each position.
Space group P4/mmm (No. 123)
Unique sites:
Tl 0.0000 0.0000 0.0000 [1 per cell]  4 F 2.86, 8 O 2.96
Pd 0.5000 0.5000 0.5000 [1 per cell]  4 O 2.02, 2 F 2.16
O 0.0000 0.5000 0.5000 [2 per cell]  2 Pd 2.02
F 0.5000 0.5000 0.0000 [1 per cell]  2 Pd 2.16

Which of these has the lowest theoretical density?
Sm3Al2Zn